# 1
Below is an optimized crystal structure of HoGa3NiPd, with properties calculated at the PBE-GGA level.

The calculation puts the formation energy at -0.484 eV per atom. For the total DFT energy (no corrections), the calculation gives -110.1 eV/cell. The crystal system is orthorhombic.

The space group is Cmcm (No. 63) and the conventional cell measures 5.9814, 12.3237 and 5.7031 Å, with angles of 90.00, 90.00 and 90.00 degrees. The distinct sites, in fractional coordinates, are Ho at (0.0000, 0.2231, 0.2500), Ga at (0.0000, 0.3588, 0.7500), Ga at (0.2111, 0.0000, 0.0000), Ni at (0.0000, 0.4329, 0.2500) and Pd at (0.0000, 0.1537, 0.7500).

# 2
Below is an optimized crystal structure of TcPb2SO, with properties calculated at the PBE-GGA level.

For the total DFT energy (no corrections), the calculation gives -23.2 eV/cell. The crystal system is tetragonal.

The space group is P4/mmm (No. 123) and the conventional cell measures 5.5891, 5.5891 and 4.3305 Å, with angles of 90.00, 90.00 and 90.00 degrees. The distinct sites, in fractional coordinates, are Tc at (0.0000, 0.0000, 0.0000), Pb at (0.0000, 0.5000, 0.5000), S at (0.0000, 0.0000, 0.5000) and O at (0.5000, 0.5000, 0.0000).

# 3
Below is an optimized crystal structure of LiAlBr, with properties calculated at the PBE-GGA level.

The polymorph energy (0 for the lowest one) comes out at 0.00 kcal/mol of atoms. For the total DFT energy (no corrections), the calculation gives -34.2 eV/cell. The crystal system is orthorhombic.

The space group is Fmm2 (No. 42) and the conventional cell measures 4.8493, 4.8579 and 12.0450 Å, with angles of 90.00, 90.00 and 90.00 degrees. The distinct sites, in fractional coordinates, are Li at (0.0000, 0.0000, 0.0000), Al at (0.0000, 0.0000, 0.3357) and Br at (0.0000, 0.0000, 0.5729).

# 4
Below is an optimized crystal structure of NaSbAs2O6, with properties calculated at the PBE-GGA level.

For the total DFT energy (no corrections), the calculation gives -173.6 eV/cell. The crystal system is trigonal.

The space group is R3 (No. 146, hexagonal axes) and the conventional cell measures 5.4848, 5.4848 and 18.7903 Å, with angles of 90.00, 90.00 and 120.00 degrees. The distinct sites, in fractional coordinates, are Na at (0.0000, 0.0000, 0.0000), Sb at (0.0000, 0.0000, 0.5732), As at (0.0000, 0.0000, 0.2498), As at (0.0000, 0.0000, 0.8017), O at (0.0071, 0.4377, 0.9685) and O at (0.0938, 0.7556, 0.5119).

# 5
Below is an optimized crystal structure of Ca2InGaCu6, with properties calculated at the PBE-GGA level.

The calculation puts the formation energy at 0.191 eV per atom. For the total DFT energy (no corrections), the calculation gives -129.7 eV/cell. The crystal system is cubic.

The space group is Fm-3m (No. 225) and the conventional cell measures 9.4678, 9.4678 and 9.4678 Å, with angles of 90.00, 90.00 and 90.00 degrees. The distinct sites, in fractional coordinates, are Ca at (0.2500, 0.2500, 0.2500), In at (0.0000, 0.0000, 0.0000), Ga at (0.0000, 0.0000, 0.5000) and Cu at (0.0000, 0.0000, 0.2601).

# 6
Below is an optimized crystal structure of ReAs2Ru, with properties calculated at the PBE-GGA level.

The polymorph energy (0 for the lowest one) comes out at 7.41 kcal/mol of atoms. The calculation puts the formation energy at 0.346 eV per atom. For the total DFT energy (no corrections), the calculation gives -59.3 eV/cell. The crystal system is orthorhombic.

The space group is Cmm2 (No. 35) and the conventional cell measures 2.8801, 4.8921 and 10.0544 Å, with angles of 90.00, 90.00 and 90.00 degrees. The distinct sites, in fractional coordinates, are Re at (0.0000, 0.0000, 0.0000), As at (0.0000, 0.0000, 0.5730), As at (0.0000, 0.5000, 0.2138) and Ru at (0.0000, 0.5000, 0.7793).